Entry 1:
Material: MgCuSiNi
Method: DFT, PBE
State: relaxed

Calculated values
- E_form (uncorrected) (eV/atom) = -0.23
- SG = F-43m
- size of the total moment (μB/cell) = 0.00

```
MgCuSiNi
1.0
5.890 0.000 0.000
0.000 5.890 0.000
0.000 0.000 5.890
Mg Cu Si Ni
4 4 4 4
direct
0.000 0.000 0.000
0.000 0.500 0.500
0.500 0.000 0.500
0.500 0.500 0.000
0.250 0.250 0.750
0.250 0.750 0.250
0.750 0.250 0.250
0.750 0.750 0.750
0.000 0.000 0.500
0.000 0.500 0.000
0.500 0.000 0.000
0.500 0.500 0.500
0.250 0.250 0.250
0.250 0.750 0.750
0.750 0.250 0.750
0.750 0.750 0.250
```

Entry 2:
Material: MgCuSi2Ni
Method: DFT, PBE
State: relaxed

Calculated values
- E_form (uncorrected) (eV/atom) = 0.69
- SG = P4/mmm
- size of the total moment (μB/cell) = 0.00

```
MgCuSi2Ni
1.0
4.365 0.000 0.000
0.000 4.365 0.000
0.000 0.000 4.673
Mg Cu Si Ni
1 1 2 1
direct
0.000 0.000 0.000
0.000 0.000 0.500
0.000 0.500 0.500
0.500 0.000 0.500
0.500 0.500 0.000
```

Entry 3:
Material: Sm2MgCu3Ni12
Method: DFT, PBE
State: relaxed

Calculated values
- SG = R-3m
- size of the total moment (μB/cell) = 0.00

```
Sm2MgCu3Ni12
1.0
4.189 2.418 4.053
-4.189 2.418 4.053
0.000 -4.837 4.053
Sm Mg Cu Ni
2 1 3 12
direct
0.211 0.211 0.211
0.789 0.789 0.789
0.500 0.500 0.500
0.000 0.500 0.500
0.500 0.000 0.500
0.500 0.500 0.000
0.088 0.088 0.643
0.088 0.643 0.088
0.214 0.700 0.700
0.300 0.300 0.786
0.300 0.786 0.300
0.357 0.912 0.912
0.643 0.088 0.088
0.700 0.214 0.700
0.700 0.700 0.214
0.786 0.300 0.300
0.912 0.357 0.912
0.912 0.912 0.357
```

Entry 4:
Material: SrMg2CuNi
Method: DFT, PBE
State: relaxed

Calculated values
- SG = P4/mmm
- size of the total moment (μB/cell) = 0.00

```
SrMg2CuNi
1.0
4.834 0.000 0.000
0.000 4.834 0.000
0.000 0.000 4.870
Sr Mg Cu Ni
1 2 1 1
direct
0.000 0.000 0.000
0.000 0.500 0.500
0.500 0.000 0.500
0.500 0.500 0.000
0.500 0.500 0.500
```

Entry 5:
Material: Sr2MgCu12Ni3
Method: DFT, PBE
State: relaxed

Calculated values
- SG = R-3m
- size of the total moment (μB/cell) = 0.00

```
Sr2MgCu12Ni3
1.0
4.333 2.502 4.113
-4.333 2.502 4.113
0.000 -5.003 4.113
Sr Mg Cu Ni
2 1 12 3
direct
0.238 0.238 0.238
0.762 0.762 0.762
0.500 0.500 0.500
0.079 0.079 0.651
0.079 0.651 0.079
0.220 0.700 0.700
0.300 0.300 0.780
0.300 0.780 0.300
0.349 0.921 0.921
0.651 0.079 0.079
0.700 0.220 0.700
0.700 0.700 0.220
0.780 0.300 0.300
0.921 0.349 0.921
0.921 0.921 0.349
0.000 0.500 0.500
0.500 0.000 0.500
0.500 0.500 0.000
```

Entry 6:
Material: MgTaCuNi
Method: DFT, PBE
State: relaxed

Calculated values
- SG = F-43m
- size of the total moment (μB/cell) = 0.00

```
MgTaCuNi
1.0
6.149 0.000 0.000
0.000 6.149 0.000
0.000 0.000 6.149
Mg Ta Cu Ni
4 4 4 4
direct
0.000 0.000 0.000
0.000 0.500 0.500
0.500 0.000 0.500
0.500 0.500 0.000
0.000 0.000 0.500
0.000 0.500 0.000
0.500 0.000 0.000
0.500 0.500 0.500
0.250 0.250 0.250
0.250 0.750 0.750
0.750 0.250 0.750
0.750 0.750 0.250
0.250 0.250 0.750
0.250 0.750 0.250
0.750 0.250 0.250
0.750 0.750 0.750
```

Entry 7:
Material: TbMgCuNi
Method: DFT, PBE
State: relaxed

Calculated values
- SG = F-43m
- size of the total moment (μB/cell) = 0.00

```
TbMgCuNi
1.0
6.578 0.000 0.000
0.000 6.578 0.000
0.000 0.000 6.578
Tb Mg Cu Ni
4 4 4 4
direct
0.000 0.000 0.000
0.000 0.500 0.500
0.500 0.000 0.500
0.500 0.500 0.000
0.000 0.000 0.500
0.000 0.500 0.000
0.500 0.000 0.000
0.500 0.500 0.500
0.250 0.250 0.750
0.250 0.750 0.250
0.750 0.250 0.250
0.750 0.750 0.750
0.250 0.250 0.250
0.250 0.750 0.750
0.750 0.250 0.750
0.750 0.750 0.250
```

Entry 8:
Material: ThMg2CuNi2
Method: DFT, PBE
State: relaxed

Calculated values
- SG = I4/mmm
- size of the total moment (μB/cell) = 0.00

```
ThMg2CuNi2
1.0
4.973 0.000 0.000
0.000 4.973 0.000
0.000 0.000 9.684
Th Mg Cu Ni
2 4 2 4
direct
0.000 0.000 0.000
0.500 0.500 0.500
0.000 0.500 0.250
0.000 0.500 0.750
0.500 0.000 0.250
0.500 0.000 0.750
0.000 0.000 0.500
0.500 0.500 0.000
0.000 0.000 0.258
0.000 0.000 0.742
0.500 0.500 0.242
0.500 0.500 0.758
```

Entry 9:
Material: ThMgCuNi
Method: DFT, PBE
State: relaxed

Calculated values
- SG = F-43m
- size of the total moment (μB/cell) = 0.00

```
ThMgCuNi
1.0
6.735 0.000 0.000
0.000 6.735 0.000
0.000 0.000 6.735
Th Mg Cu Ni
4 4 4 4
direct
0.000 0.000 0.000
0.000 0.500 0.500
0.500 0.000 0.500
0.500 0.500 0.000
0.000 0.000 0.500
0.000 0.500 0.000
0.500 0.000 0.000
0.500 0.500 0.500
0.250 0.250 0.750
0.250 0.750 0.250
0.750 0.250 0.250
0.750 0.750 0.750
0.250 0.250 0.250
0.250 0.750 0.750
0.750 0.250 0.750
0.750 0.750 0.250
```

Entry 10:
Material: MgTlCuNi
Method: DFT, PBE
State: relaxed

Calculated values
- SG = F-43m
- size of the total moment (μB/cell) = 0.00

```
MgTlCuNi
1.0
6.353 0.000 0.000
0.000 6.353 0.000
0.000 0.000 6.353
Mg Tl Cu Ni
4 4 4 4
direct
0.000 0.000 0.000
0.000 0.500 0.500
0.500 0.000 0.500
0.500 0.500 0.000
0.000 0.000 0.500
0.000 0.500 0.000
0.500 0.000 0.000
0.500 0.500 0.500
0.250 0.250 0.750
0.250 0.750 0.250
0.750 0.250 0.250
0.750 0.750 0.750
0.250 0.250 0.250
0.250 0.750 0.750
0.750 0.250 0.750
0.750 0.750 0.250
```

Entry 11:
Material: Y2MgCu3Ni12
Method: DFT, PBE
State: relaxed

Calculated values
- SG = R-3m
- size of the total moment (μB/cell) = 0.00

```
Y2MgCu3Ni12
1.0
4.178 2.412 4.030
-4.178 2.412 4.030
0.000 -4.824 4.030
Y Mg Cu Ni
2 1 3 12
direct
0.211 0.211 0.211
0.789 0.789 0.789
0.500 0.500 0.500
0.000 0.500 0.500
0.500 0.000 0.500
0.500 0.500 0.000
0.088 0.088 0.641
0.088 0.641 0.088
0.213 0.700 0.700
0.300 0.300 0.787
0.300 0.787 0.300
0.359 0.912 0.912
0.641 0.088 0.088
0.700 0.213 0.700
0.700 0.700 0.213
0.787 0.300 0.300
0.912 0.359 0.912
0.912 0.912 0.359
```

Entry 12:
Material: Mg2ZnCu5Ni2
Method: DFT, PBE
State: relaxed

Calculated values
- SG = P4/mbm
- size of the total moment (μB/cell) = 0.00

```
Mg2ZnCu5Ni2
1.0
8.455 0.000 0.000
0.000 8.455 0.000
0.000 0.000 3.831
Mg Zn Cu Ni
4 2 10 4
direct
0.175 0.325 0.000
0.325 0.825 0.000
0.675 0.175 0.000
0.825 0.675 0.000
0.000 0.000 0.000
0.500 0.500 0.000
0.000 0.500 0.500
0.071 0.798 0.500
0.202 0.071 0.500
0.298 0.571 0.500
0.429 0.298 0.500
0.500 0.000 0.500
0.571 0.702 0.500
0.702 0.429 0.500
0.798 0.929 0.500
0.929 0.202 0.500
0.119 0.619 0.000
0.381 0.119 0.000
0.619 0.881 0.000
0.881 0.381 0.000
```

We obtain DOS(E_F) values of 5.25 2.82 21.76 2.43 6.51 13.49 10.88 8.18 9.37 10.52 21.61 6.63 states/eV/cell for the records listed above, in that order.
We obtain raw total energy values of -4.45 -3.78 -5.11 -2.91 -3.78 -5.87 -4.25 -4.27 -4.93 -3.40 -5.33 -3.72 eV/atom for the records listed above, in that order.